This record from Alexandria via LeMat-Bulk describes NaNbH2 at its PBEsol-relaxed geometry. The functional is meta-GGA SCAN.

Cell lengths 5.240, 5.240, 6.789 Å; angles 90.00, 90.00, 90.00 degrees
Space group I-42d (No. 122)
Inequivalent atoms, fractional coordinates:
Na 0.000 0.000 0.000 [4 per cell]
Nb 0.000 0.000 0.500 [4 per cell]
H 0.202 0.750 0.625 [8 per cell]

Results
The calculation puts the raw total energy at -10.925 eV per atom.